Entry 1:
HfCuSeBr2: optimized geometry, GGA-PBE.

**VASP energy**: -19.51 eV per cell
**Spin magnetization**: 1.16 μB/cell
**ΔE_f (raw)**: 1.4 eV per formula unit
**Distance to the lowest polymorph of the same formula**: 0.5207 eV per atom
**Space group**: P4/mmm

abc: 4.8185 4.8185 4.9712
angles: 90.00 90.00 90.00
Closest atoms and distances in Å follow each position.
Atoms (fractional coordinates):
1 Hf 0.0000 0.0000 0.0000  4 Se 3.41, 8 Br 3.46
2 Cu 0.5000 0.5000 0.5000  4 Br 2.41, 2 Se 2.49
3 Se 0.5000 0.5000 0.0000  2 Cu 2.49
4 Br 0.0000 0.5000 0.5000  2 Cu 2.41
5 Br 0.5000 0.0000 0.5000  2 Cu 2.41

Entry 2:
SrCoSCl2: optimized geometry, GGA-PBE.

**VASP energy**: -17.32 eV per cell
**Spin magnetization**: 3.03 μB/cell
**ΔE_f (raw)**: -0.7 eV per formula unit
**Distance to the lowest polymorph of the same formula**: 0.9890 eV per atom
**Space group**: P4/mmm

abc: 5.4591 5.4591 5.8123
angles: 90.00 90.00 90.00
Closest atoms and distances in Å follow each position.
Atoms (fractional coordinates):
1 Sr 0.0000 0.0000 0.0000  4 Cl 2.73, 2 S 2.91
2 Co 0.5000 0.5000 0.5000  4 S 3.86, 8 Cl 3.99
3 S 0.0000 0.0000 0.5000  2 Sr 2.91
4 Cl 0.0000 0.5000 0.0000  2 Sr 2.73
5 Cl 0.5000 0.0000 0.0000  2 Sr 2.73

Entry 3:
Ac5HgRh4: optimized geometry, GGA-PBE.

**VASP energy**: -55.59 eV per cell
**Spin magnetization**: 0.00 μB/cell
**ΔH_f (0 K)**: -0.534 eV/atom
**Space group**: P4/mmm

abc: 3.7617 3.7617 19.1778
angles: 90.00 90.00 90.00
Closest atoms and distances in Å follow each position.
Atoms (fractional coordinates):
1 Ac 0.0000 0.0000 0.0000  8 Rh 3.25, 2 Ac 3.64
2 Ac 0.0000 0.0000 0.1900  8 Rh 3.19-3.31
3 Ac 0.0000 0.0000 0.3794  4 Rh 3.14
4 Ac 0.0000 0.0000 0.6206  4 Rh 3.14
5 Ac 0.0000 0.0000 0.8100  8 Rh 3.19-3.31
6 Hg 0.5000 0.5000 0.5000  8 Ac 3.52, 4 Hg 3.76
7 Rh 0.5000 0.5000 0.0978  8 Ac 3.19-3.25
8 Rh 0.5000 0.5000 0.2926  8 Ac 3.14-3.31
9 Rh 0.5000 0.5000 0.7074  8 Ac 3.14-3.31
10 Rh 0.5000 0.5000 0.9022  8 Ac 3.19-3.25

Entry 4:
Tl9HgSb4: optimized geometry, GGA-PBE.

**VASP energy**: -74.21 eV per cell
**Spin magnetization**: 0.00 μB/cell
**ΔE_f (raw)**: 1.0 eV per formula unit
**Space group**: P6_3/mmc

abc: 9.6410 9.6410 11.0841
angles: 90.00 90.00 120.00
Closest atoms and distances in Å follow each position.
Atoms (fractional coordinates):
1 Tl 0.0650 0.5325 0.2500  2 Sb 3.30, 1 Hg 3.33
2 Tl 0.2050 0.4099 0.5251  1 Hg 3.29, 2 Sb 3.43-3.47, 2 Tl 3.47
3 Tl 0.2050 0.4099 0.9749  1 Hg 3.29, 2 Sb 3.43-3.47, 2 Tl 3.47
4 Tl 0.2050 0.7950 0.5251  1 Hg 3.29, 2 Sb 3.43-3.47, 2 Tl 3.47
5 Tl 0.2050 0.7950 0.9749  1 Hg 3.29, 2 Sb 3.43-3.47, 2 Tl 3.47
6 Tl 0.4099 0.2050 0.0251  1 Hg 3.29, 2 Sb 3.43-3.47, 2 Tl 3.47
7 Tl 0.4099 0.2050 0.4749  1 Hg 3.29, 2 Sb 3.43-3.47, 2 Tl 3.47
8 Tl 0.4675 0.5325 0.2500  2 Sb 3.30, 1 Hg 3.33
9 Tl 0.4675 0.9350 0.2500  2 Sb 3.30, 1 Hg 3.33
10 Tl 0.5325 0.0650 0.7500  2 Sb 3.30, 1 Hg 3.33
11 Tl 0.5325 0.4675 0.7500  2 Sb 3.30, 1 Hg 3.33
12 Tl 0.5901 0.7950 0.5251  1 Hg 3.29, 2 Sb 3.43-3.47, 2 Tl 3.47
13 Tl 0.5901 0.7950 0.9749  1 Hg 3.29, 2 Sb 3.43-3.47, 2 Tl 3.47
14 Tl 0.7950 0.2050 0.0251  1 Hg 3.29, 2 Sb 3.43-3.47, 2 Tl 3.47
15 Tl 0.7950 0.2050 0.4749  1 Hg 3.29, 2 Sb 3.43-3.47, 2 Tl 3.47
16 Tl 0.7950 0.5901 0.0251  1 Hg 3.29, 2 Sb 3.43-3.47, 2 Tl 3.47
17 Tl 0.7950 0.5901 0.4749  1 Hg 3.29, 2 Sb 3.43-3.47, 2 Tl 3.47
18 Tl 0.9350 0.4675 0.7500  2 Sb 3.30, 1 Hg 3.33
19 Hg 0.3333 0.6667 0.7500  9 Tl 3.29-3.33
20 Hg 0.6667 0.3333 0.2500  9 Tl 3.29-3.33
21 Sb 0.0000 0.0000 0.0000  6 Sb 3.29, 6 Tl 3.43
22 Sb 0.0000 0.0000 0.5000  6 Sb 3.29, 6 Tl 3.43
23 Sb 0.1063 0.2125 0.2500  4 Sb 3.07-3.29, 2 Tl 3.30
24 Sb 0.1063 0.8937 0.2500  4 Sb 3.07-3.29, 2 Tl 3.30
25 Sb 0.2125 0.1063 0.7500  4 Sb 3.07-3.29, 2 Tl 3.30
26 Sb 0.7875 0.8937 0.2500  4 Sb 3.07-3.29, 2 Tl 3.30
27 Sb 0.8937 0.1063 0.7500  4 Sb 3.07-3.29, 2 Tl 3.30
28 Sb 0.8937 0.7875 0.7500  4 Sb 3.07-3.29, 2 Tl 3.30

Entry 5:
ErTh2Mg: optimized geometry, GGA-PBE.

**VASP energy**: -20.97 eV per cell
**Spin magnetization**: 0.00 μB/cell
**ΔH_f (0 K)**: 0.007 eV/atom
**Distance to the lowest polymorph of the same formula**: 0.0000 eV per atom
**Space group**: P4mm

abc: 3.5717 3.5717 9.4004
angles: 90.00 90.00 90.00
Closest atoms and distances in Å follow each position.
Atoms (fractional coordinates):
1 Er 0.0000 0.0000 0.0000  4 Mg 3.32, 4 Th 3.50, 4 Er 3.57
2 Th 0.0000 0.0000 0.4761  4 Mg 3.43, 8 Th 3.56-3.57
3 Th 0.5000 0.5000 0.7427  4 Er 3.50, 8 Th 3.56-3.57
4 Mg 0.5000 0.5000 0.2291  4 Er 3.32, 4 Th 3.43, 4 Mg 3.57

Entry 6:
LiMgTe: optimized geometry, GGA-PBE.

**VASP energy**: -29.78 eV per cell
**Spin magnetization**: 0.00 μB/cell
**ΔE_f (raw)**: -0.8 eV per formula unit
**Distance to the lowest polymorph of the same formula**: 0.2169 eV per atom
**Space group**: Fmm2

abc: 4.4998 5.4572 12.4209
angles: 90.00 90.00 90.00
Closest atoms and distances in Å follow each position.
Atoms (fractional coordinates):
1 Li 0.0000 0.0000 0.0000  2 Te 2.87
2 Li 0.0000 0.5000 0.5000  2 Te 2.87
3 Li 0.5000 0.0000 0.5000  2 Te 2.87
4 Li 0.5000 0.5000 0.0000  2 Te 2.87
5 Mg 0.0000 0.0000 0.3049  2 Te 3.02, 2 Li 3.31
6 Mg 0.0000 0.5000 0.8049  2 Te 3.02, 2 Li 3.31
7 Mg 0.5000 0.0000 0.8049  2 Te 3.02, 2 Li 3.31
8 Mg 0.5000 0.5000 0.3049  2 Te 3.02, 2 Li 3.31
9 Te 0.0000 0.0000 0.6431  2 Li 2.87, 2 Mg 3.02
10 Te 0.0000 0.5000 0.1431  2 Li 2.87, 2 Mg 3.02
11 Te 0.5000 0.0000 0.1431  2 Li 2.87, 2 Mg 3.02
12 Te 0.5000 0.5000 0.6431  2 Li 2.87, 2 Mg 3.02

Number 5 is which compound?
ErTh2Mg